Entry 1:
# GdHfTh

A geometry-optimized GdHfTh structure (PBE, Alexandria via LeMat-Bulk).

Structure (POSCAR):
```
GdHfTh
1.0
-2.388 -2.377 0.534
0.912 0.277 5.309
-3.697 3.204 -2.272
Gd Hf Th
1 1 1
Direct
0.168 0.000 0.000
0.166 0.333 0.667
0.667 0.667 0.333
```

Results
As for the symmetry: P3m1 (156). As for the crystal system: trigonal. As for the energy relative to the lowest polymorph listed for this composition: 0.724 kcal/mol of atoms.

=====

Entry 2:
# GdHfTh2

A geometry-optimized GdHfTh2 structure (PBE, Alexandria via LeMat-Bulk).

Structure (POSCAR):
```
GdHfTh2
1.0
-0.764 3.354 0.537
-3.361 -0.827 0.380
1.386 -1.221 9.592
Gd Hf Th
1 1 2
Direct
0.500 0.500 0.500
0.500 0.500 0.000
0.000 0.000 0.766
0.000 0.000 0.234
```

Results
As for the symmetry: P4/mmm (123). As for the crystal system: tetragonal. As for the energy relative to the lowest polymorph listed for this composition: 0.000 kcal/mol of atoms.

=====

Entry 3:
# GdHfTh

A geometry-optimized GdHfTh structure (PBE, Alexandria via LeMat-Bulk).

Structure (POSCAR):
```
GdHfTh
1.0
-0.778 3.207 -0.687
-0.305 -0.774 -3.267
-6.790 -2.770 3.029
Gd Hf Th
1 1 1
Direct
0.324 0.324 0.647
0.666 0.666 0.333
0.010 0.010 0.020
```

Results
As for the symmetry: I4mm (107). As for the crystal system: tetragonal. As for the energy relative to the lowest polymorph listed for this composition: 0.000 kcal/mol of atoms.

=====

Entry 4:
# GdHfTh2

A geometry-optimized GdHfTh2 structure (PBE, Alexandria via LeMat-Bulk).

Structure (POSCAR):
```
GdHfTh2
1.0
4.805 0.000 0.000
0.000 4.950 0.000
0.000 0.000 4.950
Gd Hf Th
1 1 2
Direct
0.500 0.500 0.500
0.500 0.000 0.000
0.000 0.000 0.500
0.000 0.500 0.000
```

Results
As for the symmetry: P4/mmm (123). As for the crystal system: tetragonal. As for the energy relative to the lowest polymorph listed for this composition: 0.785 kcal/mol of atoms.

=====

Entry 5:
# GdHfTh2

A geometry-optimized GdHfTh2 structure (PBE, Alexandria via LeMat-Bulk).

Structure (POSCAR):
```
GdHfTh2
1.0
-1.886 -0.944 5.056
-5.172 -1.652 0.730
-1.034 -5.129 1.625
Gd Hf Th
1 1 2
Direct
0.000 0.000 0.000
0.500 0.500 0.500
0.250 0.250 0.250
0.750 0.750 0.750
```

Results
As for the symmetry: Fm-3m (225). As for the crystal system: cubic. As for the energy relative to the lowest polymorph listed for this composition: 1.342 kcal/mol of atoms.

=====

Entry 6:
# GdHfThZr

A geometry-optimized GdHfThZr structure (PBE, Alexandria via LeMat-Bulk).

Structure (POSCAR):
```
GdHfThZr
1.0
5.329 0.000 0.000
2.665 4.615 0.000
2.665 1.538 4.351
Gd Hf Zr Th
1 1 1 1
Direct
0.000 0.000 0.000
0.250 0.250 0.250
0.750 0.750 0.750
0.500 0.500 0.500
```

Results
As for the symmetry: F-43m (216). As for the crystal system: cubic.

=====

Entry 7:
# GdHf2Ti

A geometry-optimized GdHf2Ti structure (PBE, Alexandria via LeMat-Bulk).

Structure (POSCAR):
```
GdHf2Ti
1.0
3.123 0.000 0.000
0.000 3.123 0.000
0.000 0.000 9.499
Gd Hf Ti
1 2 1
Direct
0.500 0.500 0.500
0.000 0.000 0.790
0.000 0.000 0.210
0.500 0.500 0.000
```

Results
As for the symmetry: P4/mmm (123). As for the crystal system: tetragonal. As for the energy relative to the lowest polymorph listed for this composition: 0.000 kcal/mol of atoms.

=====

Entry 8:
# GdHf2Ti

A geometry-optimized GdHf2Ti structure (PBE, Alexandria via LeMat-Bulk).

Structure (POSCAR):
```
GdHf2Ti
1.0
-2.836 -0.657 1.268
-0.226 -0.766 3.074
-2.282 9.652 3.877
Gd Hf Ti
1 2 1
Direct
0.500 0.500 0.500
0.258 0.258 0.226
0.742 0.742 0.774
0.000 0.000 0.000
```

Results
As for the symmetry: R-3m (166). As for the crystal system: trigonal. As for the energy relative to the lowest polymorph listed for this composition: 1.196 kcal/mol of atoms.

=====

Entry 9:
# GdHf2Tl

A geometry-optimized GdHf2Tl structure (PBE, Alexandria via LeMat-Bulk).

Structure (POSCAR):
```
GdHf2Tl
1.0
3.184 0.000 0.000
1.592 2.757 0.000
1.592 0.919 11.483
Tl Gd Hf
1 1 2
Direct
0.500 0.500 0.500
0.000 0.000 0.000
0.091 0.091 0.726
0.909 0.909 0.274
```

Results
As for the symmetry: R-3m (166). As for the crystal system: trigonal.

=====

Entry 10:
# Gd2HfTl

A geometry-optimized Gd2HfTl structure (PBE, Alexandria via LeMat-Bulk).

Structure (POSCAR):
```
Gd2HfTl
1.0
4.753 0.000 0.000
0.000 4.705 0.000
0.000 0.000 4.705
Tl Gd Hf
1 2 1
Direct
0.500 0.500 0.500
0.000 0.000 0.500
0.000 0.500 0.000
0.500 0.000 0.000
```

Results
As for the symmetry: P4/mmm (123). As for the crystal system: tetragonal. As for the energy relative to the lowest polymorph listed for this composition: 1.383 kcal/mol of atoms.

=====

Entry 11:
# Gd2HfTl

A geometry-optimized Gd2HfTl structure (PBE, Alexandria via LeMat-Bulk).

Structure (POSCAR):
```
Gd2HfTl
1.0
-3.056 -0.799 1.066
-0.923 -3.199 0.169
2.670 -1.902 11.442
Tl Gd Hf
1 2 1
Direct
0.500 0.500 0.500
0.088 0.088 0.735
0.912 0.912 0.265
0.000 0.000 0.000
```

Results
As for the symmetry: R-3m (166). As for the crystal system: trigonal. As for the energy relative to the lowest polymorph listed for this composition: 8.402 kcal/mol of atoms.

=====

Entry 12:
# Gd2HfTl

A geometry-optimized Gd2HfTl structure (PBE, Alexandria via LeMat-Bulk).

Structure (POSCAR):
```
Gd2HfTl
1.0
3.407 0.000 0.000
0.000 3.407 0.000
0.000 0.000 9.434
Tl Gd Hf
1 2 1
Direct
0.500 0.500 0.000
0.000 0.000 0.747
0.000 0.000 0.253
0.500 0.500 0.500
```

Results
As for the symmetry: P4/mmm (123). As for the crystal system: tetragonal. As for the energy relative to the lowest polymorph listed for this composition: 0.000 kcal/mol of atoms.

=====

Entry 13:
# GdTmHf

A geometry-optimized GdTmHf structure (PBE, Alexandria via LeMat-Bulk).

Structure (POSCAR):
```
GdTmHf
1.0
3.374 0.000 0.000
-1.687 2.922 0.000
0.000 0.000 8.395
Gd Tm Hf
1 1 1
Direct
0.333 0.667 0.647
0.000 0.000 0.022
0.667 0.333 0.331
```

Results
As for the symmetry: P3m1 (156). As for the crystal system: trigonal. As for the energy relative to the lowest polymorph listed for this composition: 0.311 kcal/mol of atoms.

=====

Entry 14:
# GdTmHf2

A geometry-optimized GdTmHf2 structure (PBE, Alexandria via LeMat-Bulk).

Structure (POSCAR):
```
GdTmHf2
1.0
-2.673 -0.587 -1.847
0.341 -1.095 -3.096
-1.011 -10.847 1.963
Gd Tm Hf
1 1 2
Direct
0.500 0.500 0.500
0.000 0.000 0.000
0.749 0.749 0.752
0.251 0.251 0.248
```

Results
As for the symmetry: R-3m (166). As for the crystal system: trigonal. As for the energy relative to the lowest polymorph listed for this composition: 0.176 kcal/mol of atoms.

=====

Entry 15:
# GdTmHf2

A geometry-optimized GdTmHf2 structure (PBE, Alexandria via LeMat-Bulk).

Structure (POSCAR):
```
GdTmHf2
1.0
-2.499 -2.499 3.192
2.394 -3.826 -1.122
3.153 1.016 3.264
Gd Tm Hf
1 1 2
Direct
0.500 0.000 0.000
0.500 0.500 0.500
0.000 0.000 0.500
0.000 0.500 0.000
```

Results
As for the symmetry: P4/mmm (123). As for the crystal system: tetragonal. As for the energy relative to the lowest polymorph listed for this composition: 0.000 kcal/mol of atoms.

=====

Entry 16:
# GdTmHf

A geometry-optimized GdTmHf structure (PBE, Alexandria via LeMat-Bulk).

Structure (POSCAR):
```
GdTmHf
1.0
-2.670 -1.758 0.996
1.536 -0.695 2.893
-2.340 7.351 1.072
Hf Gd Tm
1 1 1
Direct
0.670 0.670 0.339
0.011 0.011 0.022
0.320 0.320 0.639
```

Results
As for the symmetry: I4mm (107). As for the crystal system: tetragonal. As for the energy relative to the lowest polymorph listed for this composition: 0.000 kcal/mol of atoms.

=====

Entry 17:
# GdHfV4

A geometry-optimized GdHfV4 structure (PBE, Alexandria via LeMat-Bulk).

Structure (POSCAR):
```
GdHfV4
1.0
-4.683 0.378 -2.373
-0.430 -1.004 -5.149
-2.480 -4.345 -1.636
Gd Hf V
1 1 4
Direct
0.000 0.000 0.000
0.250 0.250 0.250
0.625 0.625 0.126
0.625 0.126 0.625
0.625 0.625 0.625
0.126 0.625 0.625
```

Results
As for the symmetry: F-43m (216). As for the crystal system: cubic.

=====

Entry 18:
# Gd2YHf

A geometry-optimized Gd2YHf structure (PBE, Alexandria via LeMat-Bulk).

Structure (POSCAR):
```
Gd2YHf
1.0
-1.326 -3.240 -3.365
4.345 0.467 -2.162
1.766 -3.601 2.772
Y Gd Hf
1 2 1
Direct
0.500 0.000 0.000
0.000 0.000 0.500
0.000 0.500 0.000
0.500 0.500 0.500
```

Results
As for the symmetry: P4/mmm (123). As for the crystal system: tetragonal. As for the energy relative to the lowest polymorph listed for this composition: 0.888 kcal/mol of atoms.

=====

Entry 19:
# GdYHf

A geometry-optimized GdYHf structure (PBE, Alexandria via LeMat-Bulk).

Structure (POSCAR):
```
GdYHf
1.0
-0.922 -1.038 3.104
-0.177 -2.145 -2.632
7.952 -2.522 1.520
Y Gd Hf
1 1 1
Direct
0.000 0.000 0.022
0.333 0.667 0.645
0.667 0.333 0.333
```

Results
As for the symmetry: P3m1 (156). As for the crystal system: trigonal. As for the energy relative to the lowest polymorph listed for this composition: 0.405 kcal/mol of atoms.

=====

Entry 20:
# Gd2YHf

A geometry-optimized Gd2YHf structure (PBE, Alexandria via LeMat-Bulk).

Structure (POSCAR):
```
Gd2YHf
1.0
-0.097 0.222 3.418
-3.140 -1.372 0.000
3.965 -9.073 0.701
Y Gd Hf
1 2 1
Direct
0.500 0.500 0.500
0.000 0.000 0.771
0.000 0.000 0.229
0.500 0.500 0.000
```

Results
As for the symmetry: P4/mmm (123). As for the crystal system: tetragonal. As for the energy relative to the lowest polymorph listed for this composition: 0.000 kcal/mol of atoms.

=====

Listing ΔH_f (0 K) for the structures above in their given order: 0.17 0.11 0.14 0.14 0.17 0.21 0.14 0.19 0.39 -0.02 0.28 -0.08 0.13 0.18 0.18 0.11 0.24 0.16 0.15 0.12 eV per atom.